Er3Cu2Pt5, relaxed, DFT PBE; space-group type = P4/mbm, No. 127; VASP energy = -0.22618 Ha/atom; E_form = -0.95 eV per atom; total magnetization = 0.000 μB per cell; density of states at the Fermi level = 4.85 states/eV/f.u.
1.0
-3.0723 -1.3766 2.0913
5.0676 -7.6940 2.3802
3.2331 4.5191 7.7245
Er Cu Pt
6 4 10
Direct
0.0000 0.3256 0.8256
0.0000 0.6744 0.1744
0.0000 0.1744 0.3256
0.0000 0.8256 0.6744
0.0000 0.0000 0.0000
0.0000 0.5000 0.5000
0.0000 0.1195 0.6195
0.0000 0.8805 0.3805
0.0000 0.3805 0.1195
0.0000 0.6195 0.8805
0.5000 0.2113 0.0734
0.5000 0.7887 0.9266
0.5000 0.9266 0.2113
0.5000 0.0734 0.7887
0.5000 0.2887 0.5734
0.5000 0.7113 0.4266
0.5000 0.5734 0.7113
0.5000 0.4266 0.2887
0.5000 0.0000 0.5000
0.5000 0.5000 0.0000